# 1
This record from the Alexandria database describes a geometry-optimized MgCu3Os structure. The functional is PBE-GGA.

The energy relative to the lowest polymorph listed for this composition comes out at 0.0 meV/atom. The calculation puts the energy of formation at 25.24 kcal/mol of atoms. The total magnetization is 0.000 μB per formula unit.

The structure belongs to space group Pm-3m (No. 221); the cell edges are 4.6384, 4.6384 and 4.6384 Å and the angles 90.00°, 90.00° and 90.00°. The asymmetric unit holds Mg at (0.0000, 0.0000, 0.0000), Cu at (0.0000, 0.5000, 0.5000) and Os at (0.5000, 0.5000, 0.5000).

# 2
This record from the Alexandria database describes a geometry-optimized ScCdSn structure. The functional is PBE-GGA.

The calculation puts the energy of formation at -5.05 kcal/mol of atoms. The total magnetization is 0.001 μB per formula unit.

The structure belongs to space group I4mm (No. 107); the cell edges are 3.3453, 3.3453 and 12.5944 Å and the angles 90.00°, 90.00° and 90.00°. The asymmetric unit holds Sc at (0.0000, 0.0000, 0.0000), Cd at (0.0000, 0.0000, 0.6625) and Sn at (0.0000, 0.0000, 0.3377).

# 3
This record from the Alexandria database describes a geometry-optimized MnWS2N structure. The functional is PBE-GGA.

The energy relative to the lowest polymorph listed for this composition comes out at 0.0 meV/atom. The total magnetization is 5.025 μB per formula unit.

The structure belongs to space group P4/mmm (No. 123); the cell edges are 4.8142, 4.8142 and 3.8111 Å and the angles 90.00°, 90.00° and 90.00°. The asymmetric unit holds Mn at (0.0000, 0.0000, 0.0000), W at (0.5000, 0.5000, 0.5000), S at (0.0000, 0.5000, 0.5000) and N at (0.5000, 0.5000, 0.0000).